[1]
Below is crystalline YCoSeN2 at its relaxed geometry, with properties calculated at the PBE level.

Magnetization (μB per atom): 1.203
Relative energy among the computed polymorphs (meV/atom): 1026
Calculated total energy (eV/atom): -5.590
DOS at the Fermi energy (states/eV/f.u.): 4.61
Crystal system: tetragonal
Uncorrected formation energy (eV per formula unit): 5.75

POSCAR file:
```
YCoSeN2
1.0
4.383 0.000 0.000
0.000 4.383 0.000
0.000 0.000 5.739
Y Co Se N
1 1 1 2
direct
0.000 0.000 0.000
0.500 0.500 0.500
0.000 0.000 0.500
0.000 0.500 0.000
0.500 0.000 0.000
```

***

[2]
Below is crystalline Ac2DyPd4Pb3 at its relaxed geometry, with properties calculated at the PBE level.

Magnetization (μB per atom): 0.000
E_form (eV per atom): -0.63
Calculated total energy (eV/atom): -5.102
DOS at the Fermi energy (states/eV/f.u.): 6.71
Crystal system: tetragonal

POSCAR file:
```
Ac2DyPd4Pb3
1.0
4.777 0.000 0.000
0.000 4.777 0.000
0.000 0.000 11.360
Ac Dy Pd Pb
2 1 4 3
direct
0.000 0.500 0.225
0.500 0.000 0.775
0.000 0.000 0.500
0.000 0.000 0.000
0.000 0.500 0.639
0.500 0.000 0.361
0.500 0.500 0.000
0.000 0.500 0.877
0.500 0.000 0.123
0.500 0.500 0.500
```

***

[3]
Below is crystalline SrPuPt2 at its relaxed geometry, with properties calculated at the PBE level.

Magnetization (μB per atom): 1.359
Relative energy among the computed polymorphs (meV/atom): 88
E_form (eV per atom): -0.67
Calculated total energy (eV/atom): -7.693
DOS at the Fermi energy (states/eV/f.u.): 13.57
Crystal system: cubic

POSCAR file:
```
SrPuPt2
1.0
0.000 3.591 3.591
3.591 0.000 3.591
3.591 3.591 0.000
Sr Pu Pt
1 1 2
direct
0.000 0.000 0.000
0.500 0.500 0.500
0.250 0.250 0.250
0.750 0.750 0.750
```

***

[4]
Below is crystalline PaCoGe2 at its relaxed geometry, with properties calculated at the PBE level.

Magnetization (μB per atom): 0.129
E_form (eV per atom): 0.15
Calculated total energy (eV/atom): -6.313
DOS at the Fermi energy (states/eV/f.u.): 4.51
Crystal system: trigonal

POSCAR file:
```
PaCoGe2
1.0
1.492 0.862 9.547
-1.492 0.862 9.547
0.000 -1.723 9.547
Pa Co Ge
1 1 2
direct
0.000 0.000 0.000
0.500 0.500 0.500
0.105 0.105 0.105
0.895 0.895 0.895
```

***

[5]
Below is crystalline NaMn2N2 at its relaxed geometry, with properties calculated at the PBE level.

Magnetization (μB per atom): 1.164
Relative energy among the computed polymorphs (meV/atom): 728
Calculated total energy (eV/atom): -6.659
DOS at the Fermi energy (states/eV/f.u.): 7.40
Crystal system: tetragonal
Uncorrected formation energy (eV per formula unit): 3.01

POSCAR file:
```
NaMn2N2
1.0
6.284 0.000 0.000
0.000 6.284 0.000
0.000 0.000 2.644
Na Mn N
2 4 4
direct
0.000 0.000 0.000
0.500 0.500 0.000
0.127 0.373 0.000
0.373 0.873 0.000
0.627 0.127 0.000
0.873 0.627 0.000
0.149 0.649 0.500
0.351 0.149 0.500
0.649 0.851 0.500
0.851 0.351 0.500
```

***

[6]
Below is crystalline Li3Pa3AgS8 at its relaxed geometry, with properties calculated at the PBE level.

Magnetization (μB per atom): 0.201
Calculated total energy (eV/atom): -5.981
DOS at the Fermi energy (states/eV/f.u.): 15.34
Crystal system: monoclinic
Uncorrected formation energy (eV per formula unit): -19.61

POSCAR file:
```
Li3Pa3AgS8
1.0
6.580 -3.907 0.000
6.580 3.907 0.000
-4.274 0.000 6.352
Li Pa Ag S
3 3 1 8
direct
0.000 0.000 0.000
0.000 0.500 0.500
0.500 0.000 0.500
0.000 0.500 0.000
0.500 0.000 0.000
0.500 0.500 0.500
0.000 0.000 0.500
0.247 0.247 0.253
0.255 0.255 0.761
0.255 0.739 0.245
0.261 0.745 0.755
0.739 0.255 0.245
0.745 0.261 0.755
0.745 0.745 0.239
0.753 0.753 0.747
```

***

[7]
Below is crystalline TbPr8Sc3 at its relaxed geometry, with properties calculated at the PBE level.

Magnetization (μB per atom): 0.000
E_form (eV per atom): 0.40
Calculated total energy (eV/atom): -4.756
DOS at the Fermi energy (states/eV/f.u.): 18.11
Crystal system: orthorhombic

POSCAR file:
```
TbPr8Sc3
1.0
-3.423 5.435 5.804
3.423 -5.435 5.804
3.423 5.435 -5.804
Tb Pr Sc
1 8 3
direct
0.000 0.000 0.000
0.088 0.252 0.835
0.288 0.222 0.511
0.288 0.778 0.066
0.417 0.252 0.165
0.583 0.748 0.835
0.712 0.222 0.934
0.712 0.778 0.489
0.912 0.748 0.165
0.288 0.788 0.500
0.500 0.500 0.000
0.712 0.212 0.500
```

***

[8]
Below is crystalline AcTlInPd3 at its relaxed geometry, with properties calculated at the PBE level.

Magnetization (μB per atom): 0.000
E_form (eV per atom): -0.41
Calculated total energy (eV/atom): -4.542
DOS at the Fermi energy (states/eV/f.u.): 3.96
Crystal system: orthorhombic

POSCAR file:
```
AcTlInPd3
1.0
3.008 -6.533 0.000
3.008 6.533 0.000
0.000 0.000 7.427
Ac Tl In Pd
2 2 2 6
direct
0.161 0.839 0.750
0.839 0.161 0.250
0.147 0.853 0.250
0.853 0.147 0.750
0.422 0.578 0.750
0.578 0.422 0.250
0.233 0.233 0.000
0.233 0.233 0.500
0.360 0.640 0.250
0.640 0.360 0.750
0.767 0.767 0.000
0.767 0.767 0.500
```